(1)
# KPr2PuO6

A relaxed KPr2PuO6 crystal (PBE-GGA, Alexandria via LeMat-Bulk).

a b c (Å): 6.146 6.146 6.433
angles (deg): 61.47 61.47 60.00
Positions (direct):
K (0.791, 0.791, 0.628)
Pr (0.530, 0.530, 0.410)
Pr (0.015, 0.015, 0.955)
Pu (0.322, 0.322, 0.035)
O (0.582, 0.247, 0.223)
O (0.247, 0.948, 0.223)
O (0.948, 0.582, 0.223)
O (0.363, 0.690, 0.773)
O (0.690, 0.175, 0.773)
O (0.175, 0.363, 0.773)

Values from the calculation:
electronic total energy	-8.3417	eV per atom

---

(2)
# KPr2PuO8

A relaxed KPr2PuO8 crystal (PBE-GGA, Alexandria via LeMat-Bulk).

a b c (Å): 4.584 5.304 8.210
angles (deg): 87.90 86.80 93.40
Positions (direct):
K (0.000, 0.000, 0.500)
Pr (0.426, 0.473, 0.779)
Pr (0.574, 0.527, 0.221)
Pu (0.000, 0.000, 0.000)
O (0.092, 0.709, 0.171)
O (0.656, 0.763, 0.966)
O (0.809, 0.134, 0.196)
O (0.908, 0.291, 0.829)
O (0.344, 0.237, 0.034)
O (0.191, 0.866, 0.804)
O (0.522, 0.644, 0.500)
O (0.478, 0.356, 0.500)

Values from the calculation:
electronic total energy	-7.8425	eV per atom

---

(3)
# K2Pr2PuO6

A relaxed K2Pr2PuO6 crystal (PBE-GGA, Alexandria via LeMat-Bulk).

a b c (Å): 6.253 6.253 6.691
angles (deg): 98.41 98.41 119.73
Positions (direct):
K (0.836, 0.164, 0.000)
K (0.164, 0.836, 0.000)
Pr (0.335, 0.665, 0.500)
Pr (0.665, 0.335, 0.500)
Pu (0.000, 0.000, 0.500)
O (0.754, 0.754, 0.677)
O (0.047, 0.370, 0.676)
O (0.246, 0.246, 0.323)
O (0.370, 0.047, 0.676)
O (0.953, 0.630, 0.324)
O (0.630, 0.953, 0.324)

Values from the calculation:
electronic total energy	-7.7629	eV per atom

---

(4)
# K4PrRe3O12

A relaxed K4PrRe3O12 crystal (PBE-GGA, Alexandria via LeMat-Bulk).

a b c (Å): 7.125 7.125 7.125
angles (deg): 109.47 109.47 109.47
Positions (direct):
K (0.500, 0.500, 0.500)
K (0.000, 0.000, 0.500)
K (0.500, 0.000, 0.000)
K (0.000, 0.500, 0.000)
Pr (0.000, 0.000, 0.000)
Re (0.500, 0.000, 0.500)
Re (0.500, 0.500, 0.000)
Re (0.000, 0.500, 0.500)
O (0.250, 0.500, 0.750)
O (0.725, 0.000, 0.725)
O (0.275, 0.000, 0.275)
O (0.750, 0.500, 0.250)
O (0.725, 0.725, 0.000)
O (0.275, 0.275, 0.000)
O (0.750, 0.250, 0.500)
O (0.250, 0.750, 0.500)
O (0.500, 0.250, 0.750)
O (0.000, 0.725, 0.725)
O (0.500, 0.750, 0.250)
O (0.000, 0.275, 0.275)

Values from the calculation:
electronic total energy	-7.1225	eV per atom

---

(5)
# K3Pr3RhO8

A relaxed K3Pr3RhO8 crystal (PBE-GGA, Alexandria via LeMat-Bulk).

a b c (Å): 7.082 7.082 7.509
angles (deg): 118.13 90.00 120.00
Positions (direct):
K (0.000, 0.000, 0.000)
K (0.000, 0.500, 0.000)
K (0.500, 0.500, 0.000)
Pr (0.500, 0.000, 0.500)
Pr (0.500, 0.500, 0.500)
Pr (0.000, 0.500, 0.500)
Rh (0.000, 0.000, 0.500)
O (0.269, 0.538, 0.306)
O (0.731, 0.462, 0.694)
O (0.793, 0.587, 0.324)
O (0.207, 0.413, 0.676)
O (0.793, 0.030, 0.324)
O (0.207, 0.970, 0.676)
O (0.237, 0.030, 0.324)
O (0.763, 0.970, 0.676)

Values from the calculation:
electronic total energy	-6.4696	eV per atom

---

(6)
# K4Pr3RhO8

A relaxed K4Pr3RhO8 crystal (PBE-GGA, Alexandria via LeMat-Bulk).

a b c (Å): 7.095 7.500 7.095
angles (deg): 118.23 120.00 90.00
Positions (direct):
K (0.500, 0.000, 0.000)
K (0.500, 0.000, 0.500)
K (0.000, 0.000, 0.000)
K (0.000, 0.000, 0.500)
Pr (0.500, 0.500, 0.000)
Pr (0.500, 0.500, 0.500)
Pr (0.000, 0.500, 0.500)
Rh (0.000, 0.500, 0.000)
O (0.220, 0.691, 0.971)
O (0.220, 0.691, 0.440)
O (0.268, 0.304, 0.536)
O (0.751, 0.691, 0.971)
O (0.249, 0.309, 0.029)
O (0.732, 0.696, 0.464)
O (0.780, 0.309, 0.560)
O (0.780, 0.309, 0.029)

Values from the calculation:
electronic total energy	-6.2018	eV per atom

---

(7)
# K2PrRhO4

A relaxed K2PrRhO4 crystal (PBE-GGA, Alexandria via LeMat-Bulk).

a b c (Å): 3.487 5.699 6.598
angles (deg): 108.38 90.00 90.00
Positions (direct):
K (0.500, 0.000, 0.500)
K (0.000, 0.500, 0.500)
Pr (0.500, 0.500, 0.000)
Rh (0.000, 0.000, 0.000)
O (0.500, 0.194, 0.181)
O (0.500, 0.806, 0.819)
O (0.000, 0.245, 0.800)
O (0.000, 0.755, 0.200)

Values from the calculation:
electronic total energy	-5.9710	eV per atom

---

(8)
# K3Pr3RuO8

A relaxed K3Pr3RuO8 crystal (PBE-GGA, Alexandria via LeMat-Bulk).

a b c (Å): 7.078 7.078 7.512
angles (deg): 118.11 90.00 120.00
Positions (direct):
K (0.000, 0.000, 0.000)
K (0.000, 0.500, 0.000)
K (0.500, 0.500, 0.000)
Pr (0.500, 0.000, 0.500)
Pr (0.500, 0.500, 0.500)
Pr (0.000, 0.500, 0.500)
Ru (0.000, 0.000, 0.500)
O (0.269, 0.537, 0.306)
O (0.731, 0.463, 0.694)
O (0.794, 0.589, 0.325)
O (0.206, 0.411, 0.675)
O (0.795, 0.030, 0.325)
O (0.205, 0.970, 0.675)
O (0.236, 0.030, 0.325)
O (0.764, 0.970, 0.675)

Values from the calculation:
electronic total energy	-6.6394	eV per atom

---

(9)
# K2PrRuO6

A relaxed K2PrRuO6 crystal (PBE-GGA, Alexandria via LeMat-Bulk).

a b c (Å): 6.041 6.040 6.039
angles (deg): 60.00 60.00 60.01
Positions (direct):
K (0.566, 0.566, 0.302)
K (0.066, 0.066, 0.801)
Pr (0.816, 0.816, 0.551)
Ru (0.316, 0.316, 0.052)
O (0.539, 0.093, 0.275)
O (0.093, 0.092, 0.275)
O (0.092, 0.539, 0.275)
O (0.539, 0.540, 0.828)
O (0.540, 0.093, 0.828)
O (0.093, 0.539, 0.828)

Values from the calculation:
electronic total energy	-6.2760	eV per atom

---

(10)
# KPr2RuO5

A relaxed KPr2RuO5 crystal (PBE-GGA, Alexandria via LeMat-Bulk).

a b c (Å): 5.868 6.945 6.945
angles (deg): 90.00 90.00 90.00
Positions (direct):
K (0.000, 0.500, 0.500)
K (0.000, 0.000, 0.000)
Pr (0.500, 0.678, 0.178)
Pr (0.500, 0.178, 0.322)
Pr (0.500, 0.822, 0.678)
Pr (0.500, 0.322, 0.822)
Ru (0.000, 0.000, 0.500)
Ru (0.000, 0.500, 0.000)
O (0.500, 0.500, 0.500)
O (0.500, 0.000, 0.000)
O (0.248, 0.133, 0.633)
O (0.248, 0.867, 0.367)
O (0.248, 0.367, 0.133)
O (0.248, 0.633, 0.867)
O (0.752, 0.133, 0.633)
O (0.752, 0.633, 0.867)
O (0.752, 0.867, 0.367)
O (0.752, 0.367, 0.133)

Values from the calculation:
electronic total energy	-7.2406	eV per atom

---

(11)
# K3PrSb2O6

A relaxed K3PrSb2O6 crystal (PBE-GGA, Alexandria via LeMat-Bulk).

a b c (Å): 6.269 6.269 7.273
angles (deg): 90.00 90.00 120.00
Positions (direct):
K (0.333, 0.667, 0.644)
K (0.667, 0.333, 0.356)
K (0.000, 0.000, 0.000)
Pr (0.000, 0.000, 0.500)
Sb (0.667, 0.333, 0.827)
Sb (0.333, 0.667, 0.173)
O (0.649, 0.824, 0.303)
O (0.176, 0.351, 0.303)
O (0.176, 0.824, 0.303)
O (0.824, 0.649, 0.697)
O (0.351, 0.176, 0.697)
O (0.824, 0.176, 0.697)

Values from the calculation:
electronic total energy	-5.7948	eV per atom

---

(12)
# K4PrSb3O12

A relaxed K4PrSb3O12 crystal (PBE-GGA, Alexandria via LeMat-Bulk).

a b c (Å): 7.289 7.289 7.289
angles (deg): 109.47 109.47 109.47
Positions (direct):
K (0.500, 0.500, 0.500)
K (0.000, 0.000, 0.500)
K (0.500, 0.000, 0.000)
K (0.000, 0.500, 0.000)
Pr (0.000, 0.000, 0.000)
Sb (0.500, 0.000, 0.500)
Sb (0.500, 0.500, 0.000)
Sb (0.000, 0.500, 0.500)
O (0.250, 0.500, 0.750)
O (0.727, 0.000, 0.727)
O (0.273, 0.000, 0.273)
O (0.750, 0.500, 0.250)
O (0.727, 0.727, 0.000)
O (0.273, 0.273, 0.000)
O (0.750, 0.250, 0.500)
O (0.250, 0.750, 0.500)
O (0.500, 0.250, 0.750)
O (0.000, 0.727, 0.727)
O (0.500, 0.750, 0.250)
O (0.000, 0.273, 0.273)

Values from the calculation:
electronic total energy	-5.6824	eV per atom